Record 1
La5PmS8 | PBE | relaxed

Values from the calculation:
- space-group type = I-4
- formation energy without anion corrections (meV/atom) = -2144
- uncorrected energy (eV/atom) = -6.602

abc: 7.542 7.542 7.542
angles: 109.23 109.95 109.23
Sites, in units of the cell vectors:
La 0.007 0.382 0.125
La 0.875 0.881 0.257
La 0.743 0.618 0.624
La 0.500 0.000 0.500
La 0.376 0.119 0.993
Pm 0.250 0.500 0.750
S 0.128 0.751 0.023
S 0.977 0.106 0.728
S 0.779 0.253 0.377
S 0.623 0.401 0.875
S 0.474 0.599 0.221
S 0.623 0.894 0.872
S 0.272 0.249 0.377
S 0.125 0.747 0.526

=====

Record 2
La2PmS4 | PBE | relaxed

Values from the calculation:
- space-group type = Cmcm
- formation energy without anion corrections (meV/atom) = -2094
- uncorrected energy (eV/atom) = -6.539

abc: 3.965 7.181 13.599
angles: 90.00 90.00 106.02
Sites, in units of the cell vectors:
La 0.129 0.259 0.427
La 0.871 0.741 0.927
La 0.129 0.259 0.073
La 0.871 0.741 0.573
Pm 0.627 0.254 0.750
Pm 0.373 0.746 0.250
S 0.778 0.556 0.124
S 0.778 0.556 0.376
S 0.222 0.444 0.876
S 0.222 0.444 0.624
S 0.980 0.960 0.750
S 0.020 0.040 0.250
S 0.500 0.000 0.000
S 0.500 0.000 0.500

=====

Question: Among the records above, which one has the lowest formation energy without anion corrections?
Answer: La5PmS8

=====

Question: The lowest uncorrected energy belongs to which entry?
Answer: La5PmS8

=====

Question: uncorrected energy of number 2 (La2PmS4)?
Answer: -6.539 eV/atom